(1)
A plane-wave DFT calculation with PBE was carried out for a geometry-optimized TeOsCl2 structure.

Values from the calculation:
Its energy above the most stable polymorph in this dataset is 177 meV/atom. The calculation puts the formation energy (no corrections) at 0.133 eV/atom.

a b c (Å): 9.8839 3.4831 6.8689
angles (deg): 90.00 115.20 90.00
Space group Cm (No. 8)
Asymmetric unit:
Te: 0.0000 0.0000 0.0000 [2 per cell]
Os: 0.2507 0.0000 0.9116 [2 per cell]
Cl: 0.1482 0.5000 0.6550 [2 per cell]
Cl: 0.2911 0.5000 0.1845 [2 per cell]

---

(2)
A plane-wave DFT calculation with PBE was carried out for a geometry-optimized NbSn2H2 structure.

Values from the calculation:
Its energy above the most stable polymorph in this dataset is 0 meV/atom.

a b c (Å): 5.1602 5.1602 5.9933
angles (deg): 90.00 90.00 90.00
Space group I4/mmm (No. 139)
Asymmetric unit:
Nb: 0.0000 0.0000 0.0000 [2 per cell]
Sn: 0.0000 0.5000 0.2500 [4 per cell]
H: 0.0000 0.0000 0.3123 [4 per cell]

---

(3)
A plane-wave DFT calculation with PBE was carried out for a geometry-optimized Nd8CdIn2 structure.

Values from the calculation:
Its energy above the most stable polymorph in this dataset is 16 meV/atom. For the formation energy, the calculation gives -174.8 meV per atom.

a b c (Å): 5.2528 8.8499 15.1302
angles (deg): 90.00 90.00 90.00
Space group Immm (No. 71)
Asymmetric unit:
Nd: 0.0000 0.0000 0.1412 [4 per cell]
Nd: 0.0000 0.2214 0.3416 [8 per cell]
Nd: 0.0000 0.3163 0.0000 [4 per cell]
Cd: 0.0000 0.5000 0.5000 [2 per cell]
In: 0.0000 0.5000 0.1950 [4 per cell]

---

(4)
A plane-wave DFT calculation with PBE was carried out for a geometry-optimized AlCd2Re structure.

Values from the calculation:
For the formation energy, the calculation gives 324.1 meV per atom.

a b c (Å): 3.3043 4.6441 9.4783
angles (deg): 90.00 90.00 90.00
Space group Cmm2 (No. 35)
Asymmetric unit:
Al: 0.0000 0.0000 0.0000 [2 per cell]
Cd: 0.0000 0.0000 0.4573 [2 per cell]
Cd: 0.0000 0.5000 0.7419 [2 per cell]
Re: 0.0000 0.5000 0.2039 [2 per cell]

---

(5)
A plane-wave DFT calculation with PBE was carried out for a geometry-optimized SrBiP2S structure.

Values from the calculation:
Its energy above the most stable polymorph in this dataset is 761 meV/atom. The calculation puts the formation energy (no corrections) at 0.895 eV/atom.

a b c (Å): 5.4178 5.4178 5.3228
angles (deg): 90.00 90.00 90.00
Space group P4/mmm (No. 123)
Asymmetric unit:
Sr: 0.0000 0.0000 0.0000 [1 per cell]
Bi: 0.5000 0.5000 0.5000 [1 per cell]
P: 0.0000 0.5000 0.0000 [2 per cell]
S: 0.0000 0.0000 0.5000 [1 per cell]

---

(6)
A plane-wave DFT calculation with PBE was carried out for a geometry-optimized FeP2IrCl structure.

Values from the calculation:
Its energy above the most stable polymorph in this dataset is 38 meV/atom. The calculation puts the formation energy (no corrections) at 0.906 eV/atom.

a b c (Å): 4.2252 4.2252 4.5651
angles (deg): 90.00 90.00 90.00
Space group P4/mmm (No. 123)
Asymmetric unit:
Fe: 0.0000 0.0000 0.0000 [1 per cell]
P: 0.0000 0.5000 0.0000 [2 per cell]
Ir: 0.5000 0.5000 0.5000 [1 per cell]
Cl: 0.0000 0.0000 0.5000 [1 per cell]

---

Per-record total energy, eV per cell: -35.07 -46.78 -92.92 -33.45 -16.03 -25.46